Record 1
## RbNbPt (PBE)

Data for a relaxed structure of RbNbPt.

Lattice parameters (Å, degrees): 6.5466 6.5466 6.5466 90.00 90.00 90.00
Closest atoms and distances in Å follow each position.
Fractional positions:
Rb: 0.0000 0.0000 0.0000  4 Nb 2.83
Rb: 0.0000 0.5000 0.5000  4 Nb 2.83
Rb: 0.5000 0.0000 0.5000  4 Nb 2.83
Rb: 0.5000 0.5000 0.0000  4 Nb 2.83
Nb: 0.2500 0.2500 0.2500  4 Rb 2.83, 4 Pt 2.83
Nb: 0.2500 0.7500 0.7500  4 Rb 2.83, 4 Pt 2.83
Nb: 0.7500 0.2500 0.7500  4 Rb 2.83, 4 Pt 2.83
Nb: 0.7500 0.7500 0.2500  4 Rb 2.83, 4 Pt 2.83
Pt: 0.0000 0.0000 0.5000  4 Nb 2.83
Pt: 0.0000 0.5000 0.0000  4 Nb 2.83
Pt: 0.5000 0.0000 0.0000  4 Nb 2.83
Pt: 0.5000 0.5000 0.5000  4 Nb 2.83

Calculated values
Mass density = 8.84 g/cm³
Space-group type = F-43m, No. 216
DFT total energy = -54.3 eV/cell
Energy relative to the lowest polymorph listed for this composition = 0.000 eV/atom
Volume = 23.38 A^3/atom

---

Record 2
## RbNbPtS3 (PBE)

Data for a relaxed structure of RbNbPtS3.

Lattice parameters (Å, degrees): 8.2873 3.6686 9.8448 90.00 114.79 90.00
Closest atoms and distances in Å follow each position.
Fractional positions:
Rb: 0.2399 0.2500 0.2205  7 S 3.29-3.67, 2 Rb 3.67
Rb: 0.7601 0.7500 0.7795  7 S 3.29-3.67, 2 Rb 3.67
Nb: 0.2025 0.7500 0.6671  6 S 2.46-2.60
Nb: 0.7975 0.2500 0.3329  6 S 2.46-2.60
Pt: 0.4187 0.2500 0.8767  4 S 2.35-2.61
Pt: 0.5813 0.7500 0.1233  4 S 2.35-2.61
S: 0.0359 0.7500 0.3774  3 Nb 2.60
S: 0.2487 0.7500 0.9304  1 Nb 2.46, 3 Pt 2.50-2.61
S: 0.3894 0.2500 0.6284  1 Pt 2.35, 2 Nb 2.53
S: 0.6106 0.7500 0.3716  1 Pt 2.35, 2 Nb 2.53
S: 0.7513 0.2500 0.0696  1 Nb 2.46, 3 Pt 2.50-2.61
S: 0.9641 0.2500 0.6226  3 Nb 2.60

Calculated values
Mass density = 5.74 g/cm³
Space-group type = P2_1/m, No. 11
DFT total energy = -69.4 eV/cell
Volume = 22.64 A^3/atom

---

Record 3
## RbNbTe3Pt (PBE)

Data for a relaxed structure of RbNbTe3Pt.

Lattice parameters (Å, degrees): 9.1915 3.9761 10.6702 90.00 113.73 90.00
Closest atoms and distances in Å follow each position.
Fractional positions:
Rb: 0.0121 0.2500 0.2847  7 Te 3.60-3.96, 2 Rb 3.98
Rb: 0.9879 0.7500 0.7153  7 Te 3.60-3.96, 2 Rb 3.98
Nb: 0.4607 0.2500 0.1808  6 Te 2.72-2.94, 2 Pt 2.92
Nb: 0.5393 0.7500 0.8192  6 Te 2.72-2.94, 2 Pt 2.92
Te: 0.2272 0.7500 0.1346  1 Pt 2.67, 2 Nb 2.82
Te: 0.3126 0.7500 0.5588  1 Nb 2.72, 3 Pt 2.74-2.76
Te: 0.3432 0.2500 0.8802  3 Nb 2.93-2.94
Te: 0.6568 0.7500 0.1198  3 Nb 2.93-2.94
Te: 0.6874 0.2500 0.4412  1 Nb 2.72, 3 Pt 2.74-2.76
Te: 0.7728 0.2500 0.8654  1 Pt 2.67, 2 Nb 2.82
Pt: 0.4652 0.7500 0.3822  4 Te 2.67-2.76, 2 Nb 2.92
Pt: 0.5348 0.2500 0.6178  4 Te 2.67-2.76, 2 Nb 2.92

Calculated values
Mass density = 7.04 g/cm³
Space-group type = P2_1/m, No. 11
DFT total energy = -60.1 eV/cell
Volume = 29.75 A^3/atom

---

Record 4
## NbRePt2 (PBE)

Data for a relaxed structure of NbRePt2.

Lattice parameters (Å, degrees): 6.3490 6.3490 6.3490 90.00 90.00 90.00
Closest atoms and distances in Å follow each position.
Fractional positions:
Nb: 0.0000 0.0000 0.0000  4 Re 2.75, 4 Pt 2.75
Nb: 0.0000 0.5000 0.5000  4 Re 2.75, 4 Pt 2.75
Nb: 0.5000 0.0000 0.5000  4 Re 2.75, 4 Pt 2.75
Nb: 0.5000 0.5000 0.0000  4 Re 2.75, 4 Pt 2.75
Re: 0.2500 0.2500 0.2500  4 Nb 2.75, 4 Pt 2.75
Re: 0.2500 0.7500 0.7500  4 Nb 2.75, 4 Pt 2.75
Re: 0.7500 0.2500 0.7500  4 Nb 2.75, 4 Pt 2.75
Re: 0.7500 0.7500 0.2500  4 Nb 2.75, 4 Pt 2.75
Pt: 0.0000 0.0000 0.5000  4 Re 2.75, 4 Pt 2.75
Pt: 0.0000 0.5000 0.0000  4 Re 2.75, 4 Pt 2.75
Pt: 0.2500 0.2500 0.7500  4 Nb 2.75, 4 Pt 2.75
Pt: 0.2500 0.7500 0.2500  4 Nb 2.75, 4 Pt 2.75
Pt: 0.5000 0.0000 0.0000  4 Re 2.75, 4 Pt 2.75
Pt: 0.5000 0.5000 0.5000  4 Re 2.75, 4 Pt 2.75
Pt: 0.7500 0.2500 0.2500  4 Nb 2.75, 4 Pt 2.75
Pt: 0.7500 0.7500 0.7500  4 Nb 2.75, 4 Pt 2.75

Calculated values
Mass density = 17.37 g/cm³
Space-group type = F-43m, No. 216
DFT total energy = -139.5 eV/cell
Calculated formation energy = -5.82 kJ/mol of atoms
Volume = 16.00 A^3/atom

---

Record 5
## Nb2PtSe4S2 (PBE)

Data for a relaxed structure of Nb2PtSe4S2.

Lattice parameters (Å, degrees): 6.9363 6.9363 10.7120 119.44 119.44 28.10
Closest atoms and distances in Å follow each position.
Fractional positions:
Nb: 0.1805 0.1805 0.2962  3 S 2.51-2.62, 4 Se 2.63-2.65
Nb: 0.8195 0.8195 0.7038  3 S 2.51-2.62, 4 Se 2.63-2.65
Pt: 0.5000 0.5000 0.0000  4 Se 2.48
Se: 0.2863 0.2863 0.8680  1 Pt 2.48, 2 Nb 2.63
Se: 0.4894 0.4894 0.7624  1 Pt 2.48, 2 Nb 2.65
Se: 0.5106 0.5106 0.2376  1 Pt 2.48, 2 Nb 2.65
Se: 0.7137 0.7137 0.1320  1 Pt 2.48, 2 Nb 2.63
S: 0.1746 0.1746 0.5373  3 Nb 2.51-2.62
S: 0.8254 0.8254 0.4627  3 Nb 2.51-2.62

Calculated values
Mass density = 6.04 g/cm³
Space-group type = C2/m, No. 12
DFT total energy = -55.1 eV/cell
Energy relative to the lowest polymorph listed for this composition = 0.009 eV/atom
Volume = 23.25 A^3/atom

---

Record 6
## Nb2PtSe4S2 (PBE)

Data for a relaxed structure of Nb2PtSe4S2.

Lattice parameters (Å, degrees): 6.8508 6.8508 10.6727 118.13 118.13 28.41
Closest atoms and distances in Å follow each position.
Fractional positions:
Nb: 0.1735 0.1735 0.2858  2 S 2.49, 5 Se 2.64-2.76
Nb: 0.8265 0.8265 0.7142  2 S 2.49, 5 Se 2.64-2.76
Pt: 0.5000 0.5000 0.0000  2 S 2.35, 2 Se 2.48
Se: 0.1641 0.1641 0.5389  3 Nb 2.66-2.76
Se: 0.4952 0.4952 0.7646  1 Pt 2.48, 2 Nb 2.64
Se: 0.5048 0.5048 0.2354  1 Pt 2.48, 2 Nb 2.64
Se: 0.8359 0.8359 0.4611  3 Nb 2.66-2.76
S: 0.2977 0.2977 0.8663  1 Pt 2.35, 2 Nb 2.49
S: 0.7023 0.7023 0.1337  1 Pt 2.35, 2 Nb 2.49

Calculated values
Mass density = 6.07 g/cm³
Space-group type = C2/m, No. 12
DFT total energy = -55.2 eV/cell
Energy relative to the lowest polymorph listed for this composition = 0.000 eV/atom
Volume = 23.14 A^3/atom

---

Record 7
## Nb2SbPt (PBE)

Data for a relaxed structure of Nb2SbPt.

Lattice parameters (Å, degrees): 6.6446 6.6446 6.6446 90.00 90.00 90.00
Closest atoms and distances in Å follow each position.
Fractional positions:
Nb: 0.0000 0.0000 0.0000  4 Nb 2.88, 4 Pt 2.88
Nb: 0.0000 0.5000 0.5000  4 Nb 2.88, 4 Pt 2.88
Nb: 0.2500 0.2500 0.2500  4 Nb 2.88, 4 Sb 2.88
Nb: 0.2500 0.7500 0.7500  4 Nb 2.88, 4 Sb 2.88
Nb: 0.5000 0.0000 0.5000  4 Nb 2.88, 4 Pt 2.88
Nb: 0.5000 0.5000 0.0000  4 Nb 2.88, 4 Pt 2.88
Nb: 0.7500 0.2500 0.7500  4 Nb 2.88, 4 Sb 2.88
Nb: 0.7500 0.7500 0.2500  4 Nb 2.88, 4 Sb 2.88
Sb: 0.0000 0.0000 0.5000  4 Nb 2.88, 4 Pt 2.88
Sb: 0.0000 0.5000 0.0000  4 Nb 2.88, 4 Pt 2.88
Sb: 0.5000 0.0000 0.0000  4 Nb 2.88, 4 Pt 2.88
Sb: 0.5000 0.5000 0.5000  4 Nb 2.88, 4 Pt 2.88
Pt: 0.2500 0.2500 0.7500  4 Nb 2.88, 4 Sb 2.88
Pt: 0.2500 0.7500 0.2500  4 Nb 2.88, 4 Sb 2.88
Pt: 0.7500 0.2500 0.2500  4 Nb 2.88, 4 Sb 2.88
Pt: 0.7500 0.7500 0.7500  4 Nb 2.88, 4 Sb 2.88

Calculated values
Mass density = 11.38 g/cm³
Space-group type = F-43m, No. 216
DFT total energy = -120.8 eV/cell
Volume = 18.34 A^3/atom

---

Record 8
## ScNbPt (PBE)

Data for a relaxed structure of ScNbPt.

Lattice parameters (Å, degrees): 6.3103 6.3103 6.3103 90.00 90.00 90.00
Closest atoms and distances in Å follow each position.
Fractional positions:
Sc: 0.0000 0.0000 0.0000  4 Pt 2.73
Sc: 0.0000 0.5000 0.5000  4 Pt 2.73
Sc: 0.5000 0.0000 0.5000  4 Pt 2.73
Sc: 0.5000 0.5000 0.0000  4 Pt 2.73
Nb: 0.0000 0.0000 0.5000  4 Pt 2.73
Nb: 0.0000 0.5000 0.0000  4 Pt 2.73
Nb: 0.5000 0.0000 0.0000  4 Pt 2.73
Nb: 0.5000 0.5000 0.5000  4 Pt 2.73
Pt: 0.2500 0.2500 0.7500  4 Nb 2.73, 4 Sc 2.73
Pt: 0.2500 0.7500 0.2500  4 Nb 2.73, 4 Sc 2.73
Pt: 0.7500 0.2500 0.2500  4 Nb 2.73, 4 Sc 2.73
Pt: 0.7500 0.7500 0.7500  4 Nb 2.73, 4 Sc 2.73

Calculated values
Mass density = 8.80 g/cm³
Space-group type = F-43m, No. 216
DFT total energy = -94.2 eV/cell
Energy relative to the lowest polymorph listed for this composition = 0.000 eV/atom
Calculated formation energy = -34.22 kJ/mol of atoms
Volume = 20.94 A^3/atom